Arrangement a

Here is a relaxed structure of Be2CrBr from the Alexandria database. Energies are from PBE-GGA.

Cell lengths 4.369, 4.369, 3.061 Å; angles 90.00, 90.00, 110.28 degrees
Last column: magnetic moment on the atom in μB.
Sites, in units of the cell vectors:
Cr (0.000, 0.500, 0.500)  2.90
Br (0.500, 0.000, 0.500)  0.04
Be (0.000, 0.000, 0.000)  -0.06
Be (0.500, 0.500, 0.000)  -0.06

Arrangement b

Here is a relaxed structure of Be2CrBr from the Alexandria database. Energies are from PBE-GGA.

Cell lengths 3.311, 3.135, 6.444 Å; angles 75.85, 90.00, 90.00 degrees
Last column: magnetic moment on the atom in μB.
Sites, in units of the cell vectors:
Cr (0.500, 0.624, 0.880)  2.81
Br (0.000, 0.839, 0.443)  0.00
Be (0.000, 0.076, 0.975)  -0.06
Be (0.500, 0.961, 0.202)  -0.03

Arrangement c

Here is a relaxed structure of Be2CrBr from the Alexandria database. Energies are from PBE-GGA.

Cell lengths 4.816, 4.816, 4.816 Å; angles 142.04, 128.33, 65.88 degrees
Last column: magnetic moment on the atom in μB.
Sites, in units of the cell vectors:
Cr (0.234, 0.734, 0.500)  2.77
Br (0.514, 0.514, 0.000)  -0.01
Be (0.985, 0.985, 0.000)  -0.04
Be (0.767, 0.267, 0.500)  -0.05

Least stable = arrangement c

Arrangement a

Here is a relaxed structure of Be3CrBr from the Alexandria database. Energies are from PBE-GGA.

Cell lengths 4.211, 4.211, 4.211 Å; angles 90.00, 90.00, 90.00 degrees
Sites, in units of the cell vectors:
Cr (0.500, 0.500, 0.500)
Br (0.000, 0.000, 0.000)
Be (0.000, 0.500, 0.000)
Be (0.000, 0.000, 0.500)
Be (0.500, 0.000, 0.000)

Arrangement b

Here is a relaxed structure of Be3CrBr from the Alexandria database. Energies are from PBE-GGA.

Cell lengths 4.598, 4.598, 4.598 Å; angles 90.00, 90.00, 90.00 degrees
Last column: magnetic moment on the atom in μB.
Sites, in units of the cell vectors:
Cr (0.000, 0.000, 0.000)  3.37
Br (0.500, 0.500, 0.500)  0.19
Be (0.000, 0.500, 0.000)  0.07
Be (0.000, 0.000, 0.500)  0.02
Be (0.500, 0.000, 0.000)  0.12

Least stable = arrangement a

Arrangement a

Here is a relaxed structure of Be2Cr2Br from the Alexandria database. Energies are from PBE-GGA.

Cell lengths 3.196, 3.196, 7.547 Å; angles 77.77, 77.77, 90.00 degrees
Sites, in units of the cell vectors:
Cr (0.750, 0.250, 0.500)
Cr (0.250, 0.750, 0.500)
Br (0.000, 0.000, 0.000)
Be (0.379, 0.379, 0.243)
Be (0.621, 0.621, 0.757)

Arrangement b

Here is a relaxed structure of Be2Cr2Br from the Alexandria database. Energies are from PBE-GGA.

Cell lengths 6.092, 6.092, 3.069 Å; angles 90.00, 90.00, 90.00 degrees
Sites, in units of the cell vectors:
Cr (0.173, 0.673, 0.500)
Cr (0.673, 0.827, 0.500)
Cr (0.827, 0.327, 0.500)
Cr (0.327, 0.173, 0.500)
Br (0.000, 0.000, 0.000)
Br (0.500, 0.500, 0.000)
Be (0.385, 0.885, 0.000)
Be (0.885, 0.615, 0.000)
Be (0.615, 0.115, 0.000)
Be (0.115, 0.385, 0.000)

Least stable = arrangement a

Arrangement a

Here is a relaxed structure of BeCrBr3 from the Alexandria database. Energies are from PBE-GGA.

Cell lengths 5.134, 5.134, 5.134 Å; angles 90.00, 90.00, 90.00 degrees
Last column: magnetic moment on the atom in μB.
Sites, in units of the cell vectors:
Be (0.500, 0.500, 0.500)  0.27
Cr (0.000, 0.000, 0.000)  3.49
Br (0.000, 0.500, 0.000)  0.02
Br (0.000, 0.000, 0.500)  0.02
Br (0.500, 0.000, 0.000)  0.02

Arrangement b

Here is a relaxed structure of BeCrBr3 from the Alexandria database. Energies are from PBE-GGA.

Cell lengths 4.867, 4.867, 4.867 Å; angles 90.00, 90.00, 90.00 degrees
Last column: magnetic moment on the atom in μB.
Sites, in units of the cell vectors:
Be (0.000, 0.000, 0.000)  0.02
Cr (0.500, 0.500, 0.500)  4.32
Br (0.000, 0.500, 0.000)  0.00
Br (0.000, 0.000, 0.500)  0.00
Br (0.500, 0.000, 0.000)  0.00

Least stable = arrangement a